VASP calculation (GGA-PBE) on an optimized crystal structure of Cs3ZnAu4.

```
data_Cs3ZnAu4
_chemical_formula_sum 'Cs6 Zn2 Au8'
_cell_length_a 5.5442
_cell_length_b 5.7835
_cell_length_c 19.1029
_cell_angle_alpha 90.00
_cell_angle_beta 90.00
_cell_angle_gamma 90.00
_space_group_name_H-M_alt 'I m m m'
_space_group_IT_number 71
_space_group_name_Hall '-I 2 2'
loop_
_atom_site_label
_atom_site_type_symbol
_atom_site_fract_x
_atom_site_fract_y
_atom_site_fract_z
_atom_site_occupancy
Cs1 Cs 0.0000 0.0000 0.0000 1
Cs2 Cs 0.0000 0.5000 0.3043 1
Zn1 Zn 0.0000 0.0000 0.5000 1
Au1 Au 0.2425 0.5000 0.1124 1
```

The value obtained for the energy relative to the elements is -0.26 eV per atom. Its density of states at the Fermi level is 0.27 states/eV per atom. As for the relative energy among the computed polymorphs: 0.0 meV/atom. The density is 6.79 Mg/m³.